(1)
An optimized crystal structure of BaIn7Ag5. Source: Alexandria via LeMat-Bulk, functional GGA-PBE.

abc: 5.8803 7.7785 7.7785
angles: 82.34 67.79 67.79
Last column: nearest neighbours and their distance in Å.
Fractional positions:
Ag 0.7225 0.7775 0.7775  4 Ag 2.95, 6 In 3.06-3.20
Ag 0.0038 0.9954 0.4997  7 In 2.91-3.19, 3 Ag 2.92-2.96
Ag 0.5011 0.4997 0.9954  7 In 2.91-3.19, 3 Ag 2.92-2.96
Ag 0.0038 0.4997 0.9954  7 In 2.91-3.19, 3 Ag 2.92-2.96
Ag 0.5011 0.9954 0.4997  7 In 2.91-3.19, 3 Ag 2.92-2.96
In 0.5077 0.7820 0.2026  5 Ag 2.91-3.06, 1 In 3.21
In 0.5077 0.2026 0.7820  5 Ag 2.91-3.06, 1 In 3.21
In 0.9923 0.6579 0.3575  5 Ag 3.01-3.19, 4 In 3.08-3.27
In 0.9923 0.3575 0.6579  5 Ag 3.01-3.19, 4 In 3.08-3.27
In 0.3477 0.6523 0.6523  3 In 3.04-3.38, 6 Ag 3.08-3.20
In 0.6474 0.3526 0.3526  5 In 3.04-3.29, 4 Ag 3.16
In 0.2725 0.2275 0.2275  4 Ag 2.97, 6 In 3.20-3.23
Ba 0.0002 0.9998 0.9998  10 In 3.52-3.74, 10 Ag 3.70-3.89

## Properties
Calculated total energy: -37.4 eV per formula unit
SG: Imm2 (44)
Energy of formation: -198 kJ/mol of formula units
Crystal system: orthorhombic

---

(2)
An optimized crystal structure of BaInAg. Source: Alexandria via LeMat-Bulk, functional GGA-PBE.

abc: 5.1807 6.3513 6.7380
angles: 80.55 67.39 65.93
Last column: nearest neighbours and their distance in Å.
Fractional positions:
Ba 0.4430 0.8015 0.3125  6 Ag 3.48-3.86, 6 In 3.53-3.85
Ba 0.5570 0.1985 0.6875  6 Ag 3.48-3.86, 6 In 3.53-3.85
Ag 0.1635 0.4045 0.2685  3 In 2.96-3.07, 1 Ag 3.09
Ag 0.8365 0.5955 0.7315  3 In 2.96-3.07, 1 Ag 3.09
In 0.1690 0.7608 0.9012  3 Ag 2.96-3.07, 1 In 3.04
In 0.8310 0.2392 0.0988  3 Ag 2.96-3.07, 1 In 3.04

## Properties
Calculated total energy: -8.5 eV per formula unit
SG: C2/m (12)
Energy of formation: -98 kJ/mol of formula units
Crystal system: monoclinic

---

(3)
An optimized crystal structure of BaInAg2. Source: Alexandria via LeMat-Bulk, functional GGA-PBE.

abc: 4.8755 4.4724 5.7961
angles: 89.97 90.00 90.00
Last column: nearest neighbours and their distance in Å.
Fractional positions:
Ag 0.0000 0.7502 0.0041  2 In 2.85, 2 Ag 2.85-2.95
Ag 0.0000 0.7498 0.4959  2 In 2.85, 2 Ag 2.85-2.95
Ba 0.5000 0.2500 0.2500  8 Ag 3.60, 4 In 3.66
In 0.5000 0.7500 0.7500  4 Ag 2.85

## Properties
Calculated total energy: -11.0 eV per formula unit
SG: Pmmm (47)
Energy of formation: -57 kJ/mol of formula units
Crystal system: orthorhombic